Compound: CsAl2H7
Source: Alexandria via LeMat-Bulk
Functional: PBE-GGA
Structure: optimized geometry

## Properties
**Space group**: Cmmm, No. 65
**E_tot**: -3.18 eV per atom

a b c (Å): 3.6146 6.1340 6.1340
angles (deg): 129.05 90.00 90.00
Atoms (fractional coordinates):
H  0.0000  0.3021  0.6979
H  0.5000  0.0288  0.3460
Al  0.5000  0.3133  0.6867
Al  0.5000  0.6867  0.3133
H  0.0000  0.6979  0.3021
H  0.5000  0.5000  0.5000
H  0.5000  0.9712  0.6540
Cs  0.0000  0.0000  0.0000
H  0.5000  0.6540  0.9712
H  0.5000  0.3460  0.0288


Compound: CsAl2HI
Source: Alexandria via LeMat-Bulk
Functional: PBE-GGA
Structure: optimized geometry

## Properties
**Space group**: P4/mmm, No. 123
**E_tot**: -1.90 eV per atom

a b c (Å): 5.9705 7.8602 5.9705
angles (deg): 90.00 90.00 90.00
Atoms (fractional coordinates):
Cs  0.0000  0.5000  0.0000
Al  0.0000  0.0000  0.5000
I  0.0000  0.0000  0.0000
Al  0.5000  0.0000  0.0000
H  0.5000  0.5000  0.5000


Repeat the first record exactly.
Compound: CsAl2H7
Source: Alexandria via LeMat-Bulk
Functional: PBE-GGA
Structure: optimized geometry

## Properties
**Space group**: Cmmm, No. 65
**E_tot**: -3.18 eV per atom

a b c (Å): 3.6146 6.1340 6.1340
angles (deg): 129.05 90.00 90.00
Atoms (fractional coordinates):
H  0.0000  0.3021  0.6979
H  0.5000  0.0288  0.3460
Al  0.5000  0.3133  0.6867
Al  0.5000  0.6867  0.3133
H  0.0000  0.6979  0.3021
H  0.5000  0.5000  0.5000
H  0.5000  0.9712  0.6540
Cs  0.0000  0.0000  0.0000
H  0.5000  0.6540  0.9712
H  0.5000  0.3460  0.0288